Density functional theory data (PBE) for crystalline CsAc2In at its relaxed geometry.

Summary:
- DFT formation energy (meV/atom) = 85
- space-group type = R-3m
- excess energy over the best structure of this formula in the dataset (meV per atom) = 79

a b c (Å): 13.5075 13.5075 13.5075
angles (deg): 17.56 17.56 17.56
Last column: nearest neighbours and their distance in Å.
Fractional positions:
Cs  0.0000  0.0000  0.0000  6 Cs 4.12, 2 Ac 4.18
Ac  0.1048  0.1048  0.1048  3 In 3.43
Ac  0.8952  0.8952  0.8952  3 In 3.43
In  0.5000  0.5000  0.5000  6 Ac 3.43

***

Density functional theory data (PBE) for crystalline VHgTe2 at its relaxed geometry.

Summary:
- formation energy (no corrections) (meV per atom) = -125
- space-group type = Cc

a b c (Å): 7.4465 7.4465 5.8286
angles (deg): 112.97 112.97 107.48
Last column: nearest neighbours and their distance in Å.
Fractional positions:
V  0.0005  0.9995  0.5000  4 Te 2.63, 2 Hg 2.85-2.86, 2 V 2.91
V  0.9995  0.0005  0.0000  4 Te 2.63, 2 Hg 2.85-2.86, 2 V 2.91
Hg  0.5770  0.7656  0.9211  2 V 2.85-2.86, 1 Te 2.89
Hg  0.7656  0.5770  0.4211  2 V 2.85-2.86, 1 Te 2.89
Te  0.0853  0.7338  0.1585  2 V 2.63
Te  0.1116  0.3647  0.4878  2 V 2.63, 1 Hg 2.89
Te  0.3647  0.1116  0.9878  2 V 2.63, 1 Hg 2.89
Te  0.7338  0.0853  0.6585  2 V 2.63

***

Density functional theory data (PBE) for crystalline Hg2IrOs at its relaxed geometry.

Summary:
- DFT formation energy (meV/atom) = 778
- space-group type = R-3m
- excess energy over the best structure of this formula in the dataset (meV per atom) = 357

a b c (Å): 9.4581 9.4581 9.4581
angles (deg): 17.84 17.84 17.84
Last column: nearest neighbours and their distance in Å.
Fractional positions:
Hg  0.2495  0.2495  0.2495  3 Ir 2.87, 3 Os 2.89, 6 Hg 2.93
Hg  0.7505  0.7505  0.7505  3 Ir 2.87, 3 Os 2.89, 6 Hg 2.93
Ir  0.5000  0.5000  0.5000  6 Hg 2.87, 6 Ir 2.93
Os  0.0000  0.0000  0.0000  6 Hg 2.89, 6 Os 2.93

***

Density functional theory data (PBE) for crystalline Ac2TbAg2O6 at its relaxed geometry.

Summary:
- formation energy (no corrections) (meV per atom) = -1982
- space-group type = R-3m

a b c (Å): 6.7782 6.7782 6.7782
angles (deg): 56.30 56.30 56.30
Last column: nearest neighbours and their distance in Å.
Fractional positions:
Ac  0.2020  0.2020  0.2020  3 O 2.39
Ac  0.7980  0.7980  0.7980  3 O 2.39
Tb  0.0000  0.0000  0.0000  6 O 2.28
Ag  0.4145  0.4145  0.4145  3 O 2.14
Ag  0.5855  0.5855  0.5855  3 O 2.14
O  0.1875  0.7613  0.7613  1 Ag 2.14, 1 Tb 2.28, 1 Ac 2.39
O  0.2387  0.2387  0.8125  1 Ag 2.14, 1 Tb 2.28, 1 Ac 2.39
O  0.2387  0.8125  0.2387  1 Ag 2.14, 1 Tb 2.28, 1 Ac 2.39
O  0.7613  0.1875  0.7613  1 Ag 2.14, 1 Tb 2.28, 1 Ac 2.39
O  0.7613  0.7613  0.1875  1 Ag 2.14, 1 Tb 2.28, 1 Ac 2.39
O  0.8125  0.2387  0.2387  1 Ag 2.14, 1 Tb 2.28, 1 Ac 2.39

***

Density functional theory data (PBE) for crystalline AlZnNi2H at its relaxed geometry.

Summary:
- space-group type = P4/mmm

a b c (Å): 3.7386 3.7386 3.6779
angles (deg): 90.00 90.00 90.00
Last column: nearest neighbours and their distance in Å.
Fractional positions:
Al  0.0000  0.0000  0.0000  8 Ni 2.62, 4 Zn 2.64
Zn  0.5000  0.5000  0.0000  2 H 1.84
Ni  0.0000  0.5000  0.5000  2 H 1.87
Ni  0.5000  0.0000  0.5000  2 H 1.87
H  0.5000  0.5000  0.5000  2 Zn 1.84, 4 Ni 1.87

***

Density functional theory data (PBE) for crystalline Li2ZnAs at its relaxed geometry.

Summary:
- DFT formation energy (meV/atom) = -301
- space-group type = Cmmm
- excess energy over the best structure of this formula in the dataset (meV per atom) = 98

a b c (Å): 2.8753 2.8753 7.8194
angles (deg): 90.00 90.00 95.10
Last column: nearest neighbours and their distance in Å.
Fractional positions:
Li  0.0000  0.0000  0.2335  4 As 2.66-2.80, 4 Zn 2.85-2.97, 4 Li 2.88
Li  0.0000  0.0000  0.7665  4 As 2.66-2.80, 4 Zn 2.85-2.97, 4 Li 2.88
Zn  0.5000  0.5000  0.5000  8 Li 2.85-2.97, 4 Zn 2.88
As  0.5000  0.5000  0.0000  8 Li 2.66-2.80, 4 As 2.88

***

Density functional theory data (PBE) for crystalline TlPb at its relaxed geometry.

Summary:
- DFT formation energy (meV/atom) = 88
- space-group type = I4/m

a b c (Å): 9.0133 9.0133 9.0133
angles (deg): 91.95 91.95 158.75
Last column: nearest neighbours and their distance in Å.
Fractional positions:
Tl  0.1047  0.3577  0.4623  6 Tl 3.32-3.54, 4 Pb 3.38-3.52
Tl  0.3577  0.8953  0.2530  6 Tl 3.32-3.54, 4 Pb 3.38-3.52
Tl  0.6423  0.1047  0.7470  6 Tl 3.32-3.54, 4 Pb 3.38-3.52
Tl  0.8953  0.6423  0.5377  6 Tl 3.32-3.54, 4 Pb 3.38-3.52
Pb  0.0933  0.8414  0.9348  4 Pb 3.26-3.32, 4 Tl 3.38-3.52
Pb  0.1586  0.0933  0.2519  4 Pb 3.26-3.32, 4 Tl 3.38-3.52
Pb  0.8414  0.9067  0.7481  4 Pb 3.26-3.32, 4 Tl 3.38-3.52
Pb  0.9067  0.1586  0.0652  4 Pb 3.26-3.32, 4 Tl 3.38-3.52

***

Density functional theory data (PBE) for crystalline Sm2Ag at its relaxed geometry.

Summary:
- DFT formation energy (meV/atom) = -169
- space-group type = P4/mmm

a b c (Å): 3.6948 3.6948 12.5291
angles (deg): 90.00 90.00 90.00
Last column: nearest neighbours and their distance in Å.
Fractional positions:
Sm  0.0000  0.0000  0.0000  8 Ag 3.22
Sm  0.0000  0.0000  0.2974  4 Ag 3.20
Sm  0.0000  0.0000  0.7026  4 Ag 3.20
Sm  0.5000  0.5000  0.5000  12 Sm 3.64-3.69
Ag  0.5000  0.5000  0.1498  8 Sm 3.20-3.22
Ag  0.5000  0.5000  0.8502  8 Sm 3.20-3.22

***

Density functional theory data (PBE) for crystalline SrLaW4 at its relaxed geometry.

Summary:
- DFT formation energy (meV/atom) = 649
- space-group type = F-43m

a b c (Å): 5.6568 5.6568 5.6568
angles (deg): 60.00 60.00 60.00
Last column: nearest neighbours and their distance in Å.
Fractional positions:
Sr  0.0000  0.0000  0.0000  12 W 3.32, 4 La 3.46
La  0.2500  0.2500  0.2500  12 W 3.32, 4 Sr 3.46
W  0.1252  0.6249  0.6249  6 W 2.83
W  0.6249  0.1252  0.6249  6 W 2.83
W  0.6249  0.6249  0.1252  6 W 2.83
W  0.6249  0.6249  0.6249  6 W 2.83

***

Density functional theory data (PBE) for crystalline Nb2AgHPt at its relaxed geometry.

Summary:
- space-group type = P4/mmm
- excess energy over the best structure of this formula in the dataset (meV per atom) = 18

a b c (Å): 4.1430 4.1430 4.1338
angles (deg): 90.00 90.00 90.00
Last column: nearest neighbours and their distance in Å.
Fractional positions:
Nb  0.0000  0.5000  0.0000  2 H 2.07
Nb  0.5000  0.0000  0.0000  2 H 2.07
Ag  0.0000  0.0000  0.5000  8 Nb 2.93, 4 Pt 2.93
H  0.5000  0.5000  0.0000  2 Pt 2.07, 4 Nb 2.07
Pt  0.5000  0.5000  0.5000  2 H 2.07

***

Density functional theory data (PBE) for crystalline TbDy2Te3 at its relaxed geometry.

Summary:
- formation energy (no corrections) (meV per atom) = -1305
- space-group type = R-3c
- excess energy over the best structure of this formula in the dataset (meV per atom) = 0

a b c (Å): 8.8179 8.8179 8.8179
angles (deg): 48.67 48.67 48.67
Last column: nearest neighbours and their distance in Å.
Fractional positions:
Tb  0.0000  0.0000  0.0000  6 Te 3.11
Tb  0.5000  0.5000  0.5000  6 Te 3.11
Dy  0.1664  0.1664  0.1664  6 Te 3.10
Dy  0.3336  0.3336  0.3336  6 Te 3.10
Dy  0.6664  0.6664  0.6664  6 Te 3.10
Dy  0.8336  0.8336  0.8336  6 Te 3.10
Te  0.0821  0.7500  0.4179  4 Dy 3.10, 2 Tb 3.11
Te  0.2500  0.5821  0.9179  4 Dy 3.10, 2 Tb 3.11
Te  0.4179  0.0821  0.7500  4 Dy 3.10, 2 Tb 3.11
Te  0.5821  0.9179  0.2500  4 Dy 3.10, 2 Tb 3.11
Te  0.7500  0.4179  0.0821  4 Dy 3.10, 2 Tb 3.11
Te  0.9179  0.2500  0.5821  4 Dy 3.10, 2 Tb 3.11

***

Density functional theory data (PBE) for crystalline Sm2NbN3 at its relaxed geometry.

Summary:
- formation energy (no corrections) (meV per atom) = -1236
- space-group type = C2/c
- excess energy over the best structure of this formula in the dataset (meV per atom) = 0

a b c (Å): 6.1872 6.1872 12.2518
angles (deg): 92.24 92.24 126.79
Last column: nearest neighbours and their distance in Å.
Fractional positions:
Sm  0.0218  0.4225  0.3607  5 N 2.43-2.69
Sm  0.1100  0.3384  0.9218  3 N 2.38-2.59
Sm  0.3384  0.1100  0.4218  3 N 2.38-2.59
Sm  0.4225  0.0218  0.8607  5 N 2.43-2.69
Sm  0.5775  0.9782  0.1393  5 N 2.43-2.69
Sm  0.6616  0.8900  0.5782  3 N 2.38-2.59
Sm  0.8900  0.6616  0.0782  3 N 2.38-2.59
Sm  0.9782  0.5775  0.6393  5 N 2.43-2.69
Nb  0.2912  0.3003  0.1689  4 N 1.99-2.18
Nb  0.3003  0.2912  0.6689  4 N 1.99-2.18
Nb  0.6997  0.7088  0.3311  4 N 1.99-2.18
Nb  0.7088  0.6997  0.8311  4 N 1.99-2.18
N  0.0153  0.9847  0.7500  2 Nb 1.99
N  0.1237  0.3294  0.5382  1 Nb 2.00
N  0.1428  0.4935  0.1136  1 Nb 2.01
N  0.3294  0.1237  0.0382  1 Nb 2.00
N  0.3564  0.6436  0.7500  2 Nb 2.18
N  0.4935  0.1428  0.6136  1 Nb 2.01
N  0.5065  0.8572  0.3864  1 Nb 2.01
N  0.6436  0.3564  0.2500  2 Nb 2.18
N  0.6706  0.8763  0.9618  1 Nb 2.00
N  0.8572  0.5065  0.8864  1 Nb 2.01
N  0.8763  0.6706  0.4618  1 Nb 2.00
N  0.9847  0.0153  0.2500  2 Nb 1.99

***

Number 1: energy -2.8673 eV/atom. Number 2: energy -4.0509 eV/atom. Number 3: energy -4.3953 eV/atom. Number 4: energy -6.3729 eV/atom. Number 5: energy -4.1831 eV/atom. Number 6: energy -2.7385 eV/atom. Number 7: energy -2.9497 eV/atom. Number 8: energy -4.2660 eV/atom. Number 9: energy -9.0883 eV/atom. Number 10: energy -6.5882 eV/atom. Number 11: energy -5.1817 eV/atom. Number 12: energy -8.6496 eV/atom.